The following is a DFT calculation (PBE) of PmDy2H after structural relaxation.

Relative energy among the computed polymorphs, kJ per mole of atoms: 31.02

Unit cell a=3.3683 b=3.3683 c=8.5643 alpha=90.00 beta=90.00 gamma=90.00
With the nearest neighbours (Å) after each atom.
Element x y z (fractional)
Pm1 0.0000 0.0000 0.0000  4 Pm 3.37, 8 Dy 3.57
Dy1 0.5000 0.5000 0.3111  4 H 2.88
Dy2 0.5000 0.5000 0.6889  4 H 2.88
H1 0.0000 0.0000 0.5000  8 Dy 2.88